A geometry-optimized Ca4YZn5 structure, computed with PBE.

a = 3.6539 Å, b = 3.6539 Å, c = 18.3184 Å
α = 90.00°, β = 90.00°, γ = 90.00°
With the nearest neighbours (Å) after each atom.
Fractional coordinates of all 10 atoms:
1 Zn 0.5000 0.5000 0.2977  8 Ca 3.17-3.18
2 Zn 0.5000 0.5000 0.0918  4 Y 3.08, 4 Ca 3.22, 1 Zn 3.36
3 Zn 0.5000 0.5000 0.5000  8 Ca 3.18
4 Zn 0.5000 0.5000 0.9082  4 Y 3.08, 4 Ca 3.22, 1 Zn 3.36
5 Zn 0.5000 0.5000 0.7023  8 Ca 3.17-3.18
6 Y 0.0000 0.0000 0.0000  8 Zn 3.08
7 Ca 0.0000 0.0000 0.3985  8 Zn 3.17-3.18
8 Ca 0.0000 0.0000 0.1963  8 Zn 3.18-3.22
9 Ca 0.0000 0.0000 0.6015  8 Zn 3.17-3.18
10 Ca 0.0000 0.0000 0.8037  8 Zn 3.18-3.22

* crystal system: tetragonal
* space-group type: P4/mmm (123)
* ΔE_f: -0.26 eV/atom

=====

A geometry-optimized CaY2Zn structure, computed with PBE.

a = 6.7480 Å, b = 6.7480 Å, c = 6.7480 Å
α = 148.77°, β = 132.10°, γ = 58.29°
With the nearest neighbours (Å) after each atom.
Fractional coordinates of all 4 atoms:
1 Y 0.5437 0.5437 0.0000  2 Zn 3.04
2 Y 0.9563 0.9563 0.0000  2 Zn 3.04
3 Ca 0.2500 0.7500 0.5000  4 Zn 3.29, 2 Ca 3.63, 4 Y 3.66
4 Zn 0.7500 0.2500 0.5000  4 Y 3.04, 4 Ca 3.29

* crystal system: orthorhombic
* space-group type: Immm (71)
* ΔE_f: -0.10 eV/atom

=====

A geometry-optimized CaY2Zn structure, computed with PBE.

a = 5.4506 Å, b = 5.4506 Å, c = 5.4506 Å
α = 60.00°, β = 60.00°, γ = 60.00°
With the nearest neighbours (Å) after each atom.
Fractional coordinates of all 4 atoms:
1 Y 0.2500 0.2500 0.2500  4 Ca 3.34, 4 Y 3.34
2 Y 0.0000 0.0000 0.0000  4 Y 3.34, 4 Zn 3.34
3 Zn 0.7500 0.7500 0.7500  4 Y 3.34, 4 Ca 3.34
4 Ca 0.5000 0.5000 0.5000  4 Zn 3.34, 4 Y 3.34

* crystal system: cubic
* space-group type: F-43m (216)
* ΔE_f: 0.13 eV/atom

=====

A geometry-optimized CaYZn3 structure, computed with PBE.

a = 5.1455 Å, b = 5.1455 Å, c = 5.1455 Å
α = 90.00°, β = 90.00°, γ = 90.00°
With the nearest neighbours (Å) after each atom.
Fractional coordinates of all 5 atoms:
1 Zn 0.0000 0.5000 0.0000  2 Ca 2.57
2 Zn 0.5000 0.0000 0.0000  2 Ca 2.57
3 Zn 0.0000 0.0000 0.5000  2 Ca 2.57
4 Y 0.5000 0.5000 0.5000  12 Zn 3.64
5 Ca 0.0000 0.0000 0.0000  6 Zn 2.57

* crystal system: cubic
* space-group type: Pm-3m (221)
* ΔE to the lowest computed polymorph: 879 meV per atom
* ΔE_f: 0.57 eV/atom

=====

A geometry-optimized CaYZn2 structure, computed with PBE.

a = 7.0271 Å, b = 7.0271 Å, c = 7.0271 Å
α = 58.73°, β = 152.97°, γ = 128.92°
With the nearest neighbours (Å) after each atom.
Fractional coordinates of all 4 atoms:
1 Zn 0.0000 0.2561 0.2561  1 Y 2.99, 1 Ca 3.14, 2 Zn 3.28
2 Zn 0.0000 0.7439 0.7439  1 Y 2.99, 1 Ca 3.14, 2 Zn 3.28
3 Y 0.0000 0.5000 0.5000  2 Zn 2.99, 2 Y 3.28
4 Ca 0.0000 0.0000 0.0000  2 Zn 3.14, 2 Ca 3.28, 4 Y 3.45

* crystal system: orthorhombic
* space-group type: Immm (71)
* ΔE_f: 0.56 eV/atom

=====

A geometry-optimized CaYZn2 structure, computed with PBE.

a = 5.0436 Å, b = 5.0436 Å, c = 5.0436 Å
α = 60.00°, β = 60.00°, γ = 60.00°
With the nearest neighbours (Å) after each atom.
Fractional coordinates of all 4 atoms:
1 Zn 0.2500 0.2500 0.2500  4 Ca 3.09, 4 Zn 3.09
2 Zn 0.0000 0.0000 0.0000  4 Y 3.09, 4 Zn 3.09
3 Y 0.7500 0.7500 0.7500  4 Ca 3.09, 4 Zn 3.09
4 Ca 0.5000 0.5000 0.5000  4 Zn 3.09, 4 Y 3.09

* crystal system: cubic
* space-group type: F-43m (216)
* ΔE_f: 0.06 eV/atom

=====

A geometry-optimized CaY2Zn structure, computed with PBE.

a = 3.6321 Å, b = 3.6321 Å, c = 9.0964 Å
α = 90.00°, β = 90.00°, γ = 90.00°
With the nearest neighbours (Å) after each atom.
Fractional coordinates of all 4 atoms:
1 Zn 0.5000 0.5000 0.2500  8 Y 3.08
2 Y 0.0000 0.0000 0.0638  4 Zn 3.08, 1 Y 3.39
3 Y 0.0000 0.0000 0.4362  4 Zn 3.08, 1 Y 3.39
4 Ca 0.5000 0.5000 0.7500  4 Ca 3.63, 8 Y 3.84

* crystal system: tetragonal
* space-group type: P4/mmm (123)
* ΔE_f: -0.12 eV/atom

=====

A geometry-optimized Ca2YZn structure, computed with PBE.

a = 3.6105 Å, b = 3.6156 Å, c = 10.1198 Å
α = 69.07°, β = 90.00°, γ = 90.00°
With the nearest neighbours (Å) after each atom.
Fractional coordinates of all 4 atoms:
1 Y 0.5000 0.2500 0.2500  4 Y 3.61-3.62, 8 Ca 3.82
2 Ca 0.0000 0.4491 0.5510  4 Zn 3.17
3 Ca 0.0000 0.0509 0.9490  4 Zn 3.17
4 Zn 0.5000 0.7500 0.7500  8 Ca 3.17

* crystal system: tetragonal
* space-group type: P4/mmm (123)
* ΔE_f: -0.03 eV/atom

=====

A geometry-optimized Ca2YZn structure, computed with PBE.

a = 8.9735 Å, b = 8.9735 Å, c = 7.1210 Å
α = 50.94°, β = 50.94°, γ = 90.00°
With the nearest neighbours (Å) after each atom.
Fractional coordinates of all 8 atoms:
1 Y 0.0000 0.0000 0.0000  2 Zn 3.23
2 Y 0.7500 0.2500 0.5000  2 Zn 3.23
3 Ca 0.3750 0.4393 0.7500  2 Zn 2.91
4 Ca 0.8750 0.8107 0.7500  2 Zn 2.91
5 Ca 0.5607 0.1250 0.2500  2 Zn 2.91
6 Ca 0.1893 0.6250 0.2500  2 Zn 2.91
7 Zn 0.2500 0.7500 0.5000  4 Ca 2.91, 2 Y 3.23
8 Zn 0.5000 0.5000 0.0000  4 Ca 2.91, 2 Y 3.23

* crystal system: tetragonal
* space-group type: I-42d (122)
* ΔE_f: 0.15 eV/atom

=====

A geometry-optimized Ca2YZn structure, computed with PBE.

a = 3.6813 Å, b = 3.6563 Å, c = 10.0578 Å
α = 68.70°, β = 90.00°, γ = 90.00°
With the nearest neighbours (Å) after each atom.
Fractional coordinates of all 4 atoms:
1 Ca 0.5000 0.2354 0.2641  8 Ca 3.66-4.02, 4 Y 3.82
2 Ca 0.0000 0.0630 0.9372  4 Zn 3.21, 1 Y 3.50
3 Y 0.0000 0.4363 0.5636  4 Zn 3.05
4 Zn 0.5000 0.7653 0.7351  4 Y 3.05, 4 Ca 3.21

* crystal system: orthorhombic
* space-group type: Pmm2 (25)
* ΔE_f: -0.12 eV/atom

=====

A geometry-optimized CaY2Zn structure, computed with PBE.

a = 5.9212 Å, b = 6.6160 Å, c = 3.4543 Å
α = 77.67°, β = 83.90°, γ = 114.82°
With the nearest neighbours (Å) after each atom.
Fractional coordinates of all 4 atoms:
1 Y 0.0000 0.0000 0.0000  6 Y 3.27-3.58, 2 Zn 3.39, 2 Ca 3.39
2 Y 0.5000 0.0000 0.5000  6 Y 3.27-3.58, 2 Ca 3.39, 2 Zn 3.39
3 Zn 0.0000 0.5000 0.5000  4 Ca 3.27-3.58, 4 Y 3.39, 2 Zn 3.45
4 Ca 0.5000 0.5000 0.0000  4 Zn 3.27-3.58, 4 Y 3.39, 2 Ca 3.45

* crystal system: monoclinic
* space-group type: C2/m (12)
* ΔE_f: 0.13 eV/atom

=====

A geometry-optimized Ca2YZn4 structure, computed with PBE.

a = 6.2042 Å, b = 6.2042 Å, c = 6.2042 Å
α = 106.93°, β = 110.76°, γ = 110.76°
With the nearest neighbours (Å) after each atom.
Fractional coordinates of all 7 atoms:
1 Zn 0.5000 0.5000 0.5000  2 Y 3.10, 4 Ca 3.10
2 Zn 0.0000 0.0000 0.5000  4 Ca 3.10, 2 Y 3.10
3 Zn 0.5000 0.0000 0.0000  2 Y 3.10, 4 Ca 3.10
4 Zn 0.0000 0.5000 0.0000  4 Ca 3.10, 2 Y 3.10
5 Ca 0.5000 0.5000 0.0000  8 Zn 3.10
6 Ca 0.5000 0.0000 0.5000  8 Zn 3.10
7 Y 0.0000 0.0000 0.0000  8 Zn 3.10

* crystal system: tetragonal
* space-group type: I4/mmm (139)
* ΔE_f: -0.05 eV/atom

=====

no.,total energy (eV per cell)
1,-23.46
2,-16.61
3,-15.67
4,-9.45
5,-8.78
6,-10.79
7,-16.70
8,-11.87
9,-22.28
10,-12.23
11,-15.69
12,-15.94